BaZnW2 | PBE-GGA | relaxed

SG	P2/m, No. 10

a = 5.264 Å, b = 2.845 Å, c = 5.516 Å
α = 90.00°, β = 90.22°, γ = 90.00°
Positions (direct):
Ba 0.000 0.000 0.000
Zn 0.500 0.500 0.000
W 0.000 0.500 0.500
W 0.500 0.000 0.500

BaZnW2 | PBE-GGA | relaxed

SG	Cm, No. 8

a = 8.597 Å, b = 3.173 Å, c = 7.074 Å
α = 90.00°, β = 98.70°, γ = 90.00°
Positions (direct):
Ba 0.000 0.000 0.000
Ba 0.500 0.500 0.000
Zn 0.252 0.500 0.342
Zn 0.752 0.000 0.342
W 0.212 0.000 0.647
W 0.485 0.000 0.510
W 0.712 0.500 0.647
W 0.985 0.500 0.510

BaZnW2 | PBE-GGA | relaxed

SG	I4_1/amd, No. 141

a = 4.851 Å, b = 4.851 Å, c = 19.258 Å
α = 90.00°, β = 90.00°, γ = 90.00°
Positions (direct):
Ba 0.000 0.250 0.375
Ba 0.000 0.750 0.625
Ba 0.500 0.250 0.125
Ba 0.500 0.750 0.875
Zn 0.000 0.250 0.875
Zn 0.000 0.750 0.125
Zn 0.500 0.250 0.625
Zn 0.500 0.750 0.375
W 0.000 0.000 0.000
W 0.000 0.500 0.000
W 0.250 0.250 0.750
W 0.250 0.750 0.250
W 0.500 0.000 0.500
W 0.500 0.500 0.500
W 0.750 0.250 0.750
W 0.750 0.750 0.250

BaZn2W | PBE-GGA | relaxed

SG	Cm, No. 8

a = 9.444 Å, b = 3.014 Å, c = 6.582 Å
α = 90.00°, β = 98.53°, γ = 90.00°
Positions (direct):
Ba 0.000 0.000 0.000
Ba 0.500 0.500 0.000
Zn 0.260 0.500 0.330
Zn 0.484 0.000 0.543
Zn 0.760 0.000 0.330
Zn 0.984 0.500 0.543
W 0.222 0.000 0.644
W 0.722 0.500 0.644

Number 1: total energy -6.015 eV per atom. Number 2: total energy -6.505 eV per atom. Number 3: total energy -5.985 eV per atom. Number 4: total energy -3.657 eV per atom.